5
Lattice="5.058 0.000 0.000 0.000 5.058 0.000 0.000 0.000 5.058" Properties=species:S:1:pos:R:3 comment="GGA-PBE Ta3FePb, relaxed" ef_mev_per_atom=2946.9 relative_energy_mev_per_atom=2294 total_magnetization_mub_per_fu=0.3 pbc="T T T"
Pb 0.000 0.000 0.000
Fe 2.529 2.529 2.529
Ta 0.000 2.529 0.000
Ta 0.000 0.000 2.529
Ta 2.529 0.000 0.000

***

4
Lattice="5.332 -0.138 0.181 4.333 3.110 0.181 1.925 0.592 4.248" Properties=species:S:1:pos:R:3 comment="GGA-PBE Ta2FePb, relaxed" ef_mev_per_atom=378.1 total_magnetization_mub_per_fu=2.1 pbc="T T T"
Fe 5.888 1.810 2.270
Pb 8.842 2.719 3.376
Ta 9.598 2.952 0.398
Ta 2.723 0.837 1.233

***

6
Lattice="0.000 3.484 3.484 3.484 0.000 3.484 3.484 3.484 0.000" Properties=species:S:1:pos:R:3 comment="GGA-PBE TaFe4Pb, relaxed" ef_mev_per_atom=141.5 total_magnetization_mub_per_fu=7.2 pbc="T T T"
Ta 0.000 0.000 0.000
Fe 2.603 4.364 4.364
Fe 4.364 4.364 2.603
Fe 4.364 2.603 4.364
Fe 2.603 2.603 2.603
Pb 5.225 5.225 5.225